(1)
An optimized crystal structure of PaMnGa2, computed with PBE.

a b c (Å): 3.036 3.036 7.613
angles (deg): 90.00 90.00 90.00
Last column: magnetic moment on the atom in μB.
Positions (direct):
Mn: 0.500 0.500 0.000  3.07
Pa: 0.500 0.500 0.500  0.72
Ga: 0.000 0.000 0.794  -0.05
Ga: 0.000 0.000 0.206  -0.05

Mass density (g/cm³): 10.1
Energy of formation (meV/atom): -144.2



(2)
An optimized crystal structure of Pa4Mn2Ga5, computed with PBE.

a b c (Å): 3.221 7.153 9.381
angles (deg): 93.27 90.00 90.00
Positions (direct):
Pa: 0.500 0.762 0.547
Pa: 0.500 0.154 0.870
Pa: 0.500 0.238 0.453
Pa: 0.500 0.846 0.130
Mn: 0.000 0.078 0.647
Mn: 0.000 0.922 0.353
Ga: 0.000 0.554 0.301
Ga: 0.000 0.204 0.167
Ga: 0.000 0.500 0.000
Ga: 0.000 0.796 0.833
Ga: 0.000 0.446 0.699

Mass density (g/cm³): 10.6
Energy of formation (meV/atom): -233.5



(3)
An optimized crystal structure of PaMnGa, computed with PBE.

a b c (Å): 4.217 4.217 7.829
angles (deg): 74.38 74.38 60.00
Positions (direct):
Pa: 0.613 0.613 0.162
Pa: 0.387 0.387 0.838
Mn: 0.257 0.257 0.229
Mn: 0.743 0.743 0.771
Ga: 0.860 0.860 0.420
Ga: 0.140 0.140 0.580

Mass density (g/cm³): 10.3
Energy of formation (meV/atom): 28.4



(4)
An optimized crystal structure of PaMnGa4, computed with PBE.

a b c (Å): 4.919 6.406 8.011
angles (deg): 113.57 107.84 90.00
Last column: magnetic moment on the atom in μB.
Positions (direct):
Pa: 0.210 0.211 0.423  -0.34
Pa: 0.790 0.789 0.577  -0.34
Mn: 0.740 0.501 0.002  1.98
Mn: 0.260 0.499 0.998  1.98
Ga: 0.838 0.340 0.679  -0.04
Ga: 0.607 0.330 0.216  -0.03
Ga: 0.000 0.181 0.000  -0.04
Ga: 0.393 0.114 0.784  -0.03
Ga: 0.162 0.660 0.321  -0.04
Ga: 0.393 0.670 0.784  -0.03
Ga: 0.000 0.819 0.000  -0.04
Ga: 0.607 0.886 0.216  -0.03

Mass density (g/cm³): 8.6
Energy of formation (meV/atom): -129.0



(5)
An optimized crystal structure of Pa3MnGa, computed with PBE.

a b c (Å): 4.853 6.727 6.727
angles (deg): 88.73 90.00 90.00
Positions (direct):
Pa: 0.543 0.967 0.575
Pa: 0.543 0.418 0.124
Pa: 0.043 0.126 0.416
Pa: 0.043 0.687 0.855
Pa: 0.543 0.420 0.569
Pa: 0.543 0.973 0.123
Mn: 0.543 0.694 0.848
Mn: 0.043 0.373 0.169
Ga: 0.043 0.693 0.350
Ga: 0.043 0.192 0.849

Mass density (g/cm³): 12.4
Energy of formation (meV/atom): -57.5



(6)
An optimized crystal structure of PaMnGaPd, computed with PBE.

a b c (Å): 4.647 4.647 4.647
angles (deg): 60.00 60.00 60.00
Last column: magnetic moment on the atom in μB.
Positions (direct):
Mn: 0.000 0.000 0.000  2.24
Pa: 0.750 0.750 0.750  -0.42
Ga: 0.250 0.250 0.250  -0.05
Pd: 0.500 0.500 0.500  0.09

Mass density (g/cm³): 10.8
Energy of formation (meV/atom): -203.6



(7)
An optimized crystal structure of Pa2MnGa4Pt3, computed with PBE.

a b c (Å): 4.024 4.024 11.325
angles (deg): 90.00 90.00 90.00
Last column: magnetic moment on the atom in μB.
Positions (direct):
Pa: 0.500 0.000 0.250  -0.01
Pa: 0.000 0.500 0.750  -0.01
Mn: 0.500 0.500 0.500  2.99
Ga: 0.500 0.500 0.000  0.01
Ga: 0.000 0.000 0.000  0.00
Ga: 0.500 0.000 0.633  -0.06
Ga: 0.000 0.500 0.367  -0.06
Pt: 0.000 0.000 0.500  0.02
Pt: 0.500 0.000 0.851  0.00
Pt: 0.000 0.500 0.149  0.00

Mass density (g/cm³): 12.5
Energy of formation (meV/atom): -662.6



(8)
An optimized crystal structure of PaMnGaRe, computed with PBE.

a b c (Å): 4.581 4.581 4.581
angles (deg): 60.00 60.00 60.00
Last column: magnetic moment on the atom in μB.
Positions (direct):
Re: 0.000 0.000 0.000  0.18
Pa: 0.750 0.750 0.750  -0.30
Ga: 0.250 0.250 0.250  -0.04
Mn: 0.500 0.500 0.500  2.15

Mass density (g/cm³): 13.2
Energy of formation (meV/atom): 10.8



(9)
An optimized crystal structure of PaMnGaRu, computed with PBE.

a b c (Å): 4.534 4.534 4.534
angles (deg): 60.00 60.00 60.00
Last column: magnetic moment on the atom in μB.
Positions (direct):
Ru: 0.500 0.500 0.500  0.01
Pa: 0.250 0.250 0.250  -0.17
Ga: 0.750 0.750 0.750  -0.02
Mn: 0.000 0.000 0.000  0.77

Mass density (g/cm³): 11.5
Energy of formation (meV/atom): -263.9



(10)
An optimized crystal structure of PaMnVGa, computed with PBE.

a b c (Å): 4.457 4.457 4.457
angles (deg): 60.00 60.00 60.00
Positions (direct):
Mn: 0.250 0.250 0.250
Pa: 0.500 0.500 0.500
Ga: 0.000 0.000 0.000
V: 0.750 0.750 0.750

Mass density (g/cm³): 10.8
Energy of formation (meV/atom): -72.9



(11)
An optimized crystal structure of PaMnZnGa, computed with PBE.

a b c (Å): 4.631 4.631 4.631
angles (deg): 60.00 60.00 60.00
Last column: magnetic moment on the atom in μB.
Positions (direct):
Mn: 0.750 0.750 0.750  2.42
Zn: 0.250 0.250 0.250  0.01
Pa: 0.000 0.000 0.000  -0.26
Ga: 0.500 0.500 0.500  -0.02

Mass density (g/cm³): 10.0
Energy of formation (meV/atom): 57.6



(12)
An optimized crystal structure of MnGaPb3, computed with PBE.

a b c (Å): 5.280 5.280 5.280
angles (deg): 90.00 90.00 90.00
Last column: magnetic moment on the atom in μB.
Positions (direct):
Pb: 0.000 0.500 0.000  0.00
Pb: 0.000 0.000 0.500  0.01
Pb: 0.500 0.000 0.000  -0.02
Mn: 0.500 0.500 0.500  -0.49
Ga: 0.000 0.000 0.000  0.00

Mass density (g/cm³): 8.4
Energy of formation (meV/atom): 1283.5
Polymorph energy (0 for the lowest one) (eV per atom): 0.9264